Material: KInHg
Method: DFT, PBEsol
State: relaxed

Cell lengths 3.911, 3.911, 6.648 Å; angles 107.11, 107.11, 90.00 degrees
Sites, in units of the cell vectors:
1 K 0.336 0.336 0.671
2 Hg 0.036 0.036 0.072
3 In 0.628 0.628 0.257

Computed properties:
As for the symmetry: I4mm (107). Its energy above the lowest structure with this stoichiometry is 24.2 meV per atom. Its total energy is -1.690 eV per atom. As for the total magnetization: 0.000 μB per formula unit. Its formation energy is -12.5 kJ/mol of atoms.